Computed, not measured: La6MgTl3 after structural relaxation at the PBE-GGA level of DFT.

Results
The calculation puts the calculated volume at 642.8 Å³ per cell. The crystal system is monoclinic. The calculation puts the energy of formation at -2.70 eV/f.u. The spin magnetization is 0.00 μB per atom. The density of states at the Fermi level is 10.699 states/eV/f.u. The space group is P2_1/m (11).

POSCAR file:
```
La6MgTl3
1.0
5.582 0.000 0.000
0.000 9.336 -3.053
0.000 0.108 12.300
La Mg Tl
12 2 6
Cartesian
1.395 4.342 -0.330
4.186 5.102 9.578
1.395 1.182 1.415
4.186 8.262 7.833
1.395 6.205 6.380
4.186 3.239 2.868
1.395 2.451 5.295
4.186 6.994 3.952
1.395 7.949 1.123
4.186 1.495 8.125
1.395 0.857 10.599
4.186 8.588 -1.351
1.395 9.037 4.332
4.186 0.407 4.916
1.395 5.120 3.044
4.186 4.325 6.204
1.395 3.452 8.487
4.186 5.993 0.761
1.395 7.254 9.657
4.186 2.191 -0.409
```